(1)
# ZrVCr GGA-PBE relaxed
# **Magnetization**: 0.08 μB/atom
# **Formation energy from the elements**: 9.0 kJ per mole of atoms
# **Offset from the most stable computed form**: 0.120 eV per atom
data_ZrVCr
_chemical_formula_sum 'Zr2 V2 Cr2'
_space_group_name_H-M_alt 'P 1'
_space_group_IT_number 1
_cell_length_a 2.960
_cell_length_b 2.960
_cell_length_c 11.124
_cell_angle_alpha 90.00
_cell_angle_beta 90.00
_cell_angle_gamma 90.00
loop_
_space_group_symop_operation_xyz
'x,y,z'
loop_
_atom_site_label
_atom_site_fract_x
_atom_site_fract_y
_atom_site_fract_z
Zr1 0.000 0.000 0.000
Zr2 0.500 0.500 0.267
V1 0.000 0.000 0.444
V2 0.500 0.500 0.577
Cr1 0.000 0.000 0.712
Cr2 0.500 0.500 0.830

=====

(2)
# CdSiRu GGA-PBE relaxed
# **Magnetization**: 0.00 μB/atom
# **Energy**: -5.28 eV per atom
data_CdSiRu
_chemical_formula_sum 'Cd1 Si1 Ru1'
_space_group_name_H-M_alt 'P 1'
_space_group_IT_number 1
_cell_length_a 4.087
_cell_length_b 4.087
_cell_length_c 3.444
_cell_angle_alpha 90.00
_cell_angle_beta 90.00
_cell_angle_gamma 120.00
loop_
_space_group_symop_operation_xyz
'x,y,z'
loop_
_atom_site_label
_atom_site_fract_x
_atom_site_fract_y
_atom_site_fract_z
Cd1 0.000 0.000 0.000
Si1 0.667 0.333 0.500
Ru1 0.333 0.667 0.500

=====

(3)
# PmIn2Ag9 GGA-PBE relaxed
# **Magnetization**: 0.00 μB/atom
# **Formation energy from the elements**: -5.7 kJ per mole of atoms
data_PmIn2Ag9
_chemical_formula_sum 'Pm1 In2 Ag9'
_space_group_name_H-M_alt 'P 1'
_space_group_IT_number 1
_cell_length_a 9.747
_cell_length_b 9.747
_cell_length_c 9.747
_cell_angle_alpha 33.39
_cell_angle_beta 33.39
_cell_angle_gamma 33.39
loop_
_space_group_symop_operation_xyz
'x,y,z'
loop_
_atom_site_label
_atom_site_fract_x
_atom_site_fract_y
_atom_site_fract_z
Pm1 0.000 0.000 0.000
In1 0.142 0.142 0.142
In2 0.858 0.858 0.858
Ag1 0.081 0.587 0.587
Ag2 0.334 0.334 0.334
Ag3 0.413 0.413 0.919
Ag4 0.413 0.919 0.413
Ag5 0.500 0.500 0.500
Ag6 0.587 0.081 0.587
Ag7 0.587 0.587 0.081
Ag8 0.666 0.666 0.666
Ag9 0.919 0.413 0.413

=====

(4)
# Er2TiGa GGA-PBE relaxed
# **Magnetization**: 0.43 μB/atom
# **Formation energy from the elements**: -14.3 kJ per mole of atoms
# **Offset from the most stable computed form**: 0.019 eV per atom
data_Er2TiGa
_chemical_formula_sum 'Er2 Ti1 Ga1'
_space_group_name_H-M_alt 'P 1'
_space_group_IT_number 1
_cell_length_a 4.587
_cell_length_b 4.587
_cell_length_c 4.301
_cell_angle_alpha 90.00
_cell_angle_beta 90.00
_cell_angle_gamma 90.00
loop_
_space_group_symop_operation_xyz
'x,y,z'
loop_
_atom_site_label
_atom_site_fract_x
_atom_site_fract_y
_atom_site_fract_z
Er1 0.000 0.500 0.000
Er2 0.500 0.000 0.000
Ti1 0.000 0.000 0.500
Ga1 0.500 0.500 0.500

=====

(5)
# SnAs2SO GGA-PBE relaxed
# **Magnetization**: 0.00 μB/atom
# **Energy**: -4.23 eV per atom
data_SnAs2SO
_chemical_formula_sum 'Sn1 As2 S1 O1'
_space_group_name_H-M_alt 'P 1'
_space_group_IT_number 1
_cell_length_a 4.215
_cell_length_b 4.215
_cell_length_c 5.704
_cell_angle_alpha 90.00
_cell_angle_beta 90.00
_cell_angle_gamma 90.00
loop_
_space_group_symop_operation_xyz
'x,y,z'
loop_
_atom_site_label
_atom_site_fract_x
_atom_site_fract_y
_atom_site_fract_z
Sn1 0.000 0.000 0.000
As1 0.000 0.500 0.500
As2 0.500 0.000 0.500
S1 0.500 0.500 0.000
O1 0.000 0.000 0.500

=====

(6)
# PmGaSn GGA-PBE relaxed
# **Magnetization**: 0.10 μB/atom
# **Formation energy from the elements**: -39.9 kJ per mole of atoms
# **Offset from the most stable computed form**: 0.213 eV per atom
data_PmGaSn
_chemical_formula_sum 'Pm1 Ga1 Sn1'
_space_group_name_H-M_alt 'P 1'
_space_group_IT_number 1
_cell_length_a 6.182
_cell_length_b 6.182
_cell_length_c 6.182
_cell_angle_alpha 145.63
_cell_angle_beta 145.63
_cell_angle_gamma 49.40
loop_
_space_group_symop_operation_xyz
'x,y,z'
loop_
_atom_site_label
_atom_site_fract_x
_atom_site_fract_y
_atom_site_fract_z
Pm1 0.000 0.000 0.000
Ga1 0.677 0.677 0.000
Sn1 0.303 0.303 0.000